No. 1
DFT (PBE-GGA) results for an optimized crystal structure of RbHgCl4.

Output
* raw formation energy: -0.8785 eV per atom
* ΔE to the lowest computed polymorph: 0.0 kJ/mol of atoms

POSCAR file:
```
RbHgCl4
1.0
7.492 -3.273 0.000
7.492 3.273 0.000
-1.808 0.000 7.960
Rb Hg Cl
2 2 8
direct
0.174 0.826 0.750
0.826 0.174 0.250
0.000 0.500 0.000
0.500 0.000 0.500
0.149 0.226 0.622
0.226 0.149 0.122
0.265 0.568 0.132
0.432 0.735 0.368
0.568 0.265 0.632
0.735 0.432 0.868
0.774 0.851 0.878
0.851 0.774 0.378
```



No. 2
DFT (PBE-GGA) results for an optimized crystal structure of MgTl5.

Output
* energy: -12.54 eV per cell

POSCAR file:
```
MgTl5
1.0
0.000 4.563 4.563
4.563 0.000 4.563
4.563 4.563 0.000
Mg Tl
1 5
direct
0.000 0.000 0.000
0.375 0.375 0.375
0.375 0.375 0.875
0.375 0.875 0.375
0.750 0.750 0.750
0.875 0.375 0.375
```



no.,Fermi-level density of states (states/eV/cell)
1,3.1
2,4.2